Computed, not measured: DyEr4Ga4 after structural relaxation at the PBE-GGA level of DFT.

Unit cell a=9.000 b=9.000 c=5.895 alpha=90.00 beta=90.00 gamma=90.00
Space group P4_2/n (No. 86, origin choice 2)
Inequivalent atoms, fractional coordinates:
Dy  0.250  0.250  0.250 [2 per cell]
Er  0.070  0.658  0.130 [8 per cell]
Ga  0.024  0.618  0.620 [8 per cell]

Results
Its magnetization is 0.00 μB/f.u. The calculation puts the energy of formation from the pure elements at -0.356 eV per atom. The calculation puts the density of states at the Fermi level at 12.79 states/eV/cell.